Entry 1:
HoEr2Ni | PBE | optimized geometry

It has space group Pnma (No. 62), with a = 6.792 Å, b = 9.474 Å, c = 6.271 Å, α = 90.00°, β = 90.00° and γ = 90.00°. The asymmetric unit holds Ho at (0.032, 0.250, 0.138), Er at (0.178, 0.066, 0.679) and Ni at (0.109, 0.750, 0.447).

The value obtained for the size of the total moment is 0.00 Bohr magnetons per cell. The calculation puts the energy above the lowest structure with this stoichiometry at 0 meV/atom. For the formation energy, the calculation gives -0.27 eV/atom.


Entry 2:
K2YScO4 | PBE | optimized geometry

It has space group P2/m (No. 10), with a = 5.835 Å, b = 3.375 Å, c = 6.513 Å, α = 90.00°, β = 107.38° and γ = 90.00°. The asymmetric unit holds K at (0.000, 0.000, 0.000), K at (0.500, 0.500, 0.000), Y at (0.000, 0.500, 0.500), Sc at (0.500, 0.000, 0.500), O at (0.242, 0.000, 0.683) and O at (0.285, 0.500, 0.320).

The calculation puts the energy relative to the elements, uncorrected at -2.73 eV per atom. The value obtained for the size of the total moment is 0.00 Bohr magnetons per cell.


Entry 3:
DyS2Cl4 | PBE | optimized geometry

It has space group P-1 (No. 2), with a = 3.995 Å, b = 7.199 Å, c = 8.655 Å, α = 104.68°, β = 95.17° and γ = 90.69°. The asymmetric unit holds Dy at (0.000, 0.000, 0.000), S at (0.317, 0.414, 0.463), Cl at (0.032, 0.361, 0.169) and Cl at (0.468, 0.078, 0.819).

The calculation puts the energy relative to the elements, uncorrected at -1.22 eV per atom. The value obtained for the size of the total moment is 0.16 Bohr magnetons per cell.


Entry 4:
GaTe2As2Pd7 | PBE | optimized geometry

It has space group I4/mmm (No. 139), with a = 3.955 Å, b = 3.955 Å, c = 29.610 Å, α = 90.00°, β = 90.00° and γ = 90.00°. The asymmetric unit holds Ga at (0.000, 0.000, 0.000), Te at (0.000, 0.000, 0.209), As at (0.000, 0.000, 0.383), Pd at (0.000, 0.000, 0.300), Pd at (0.000, 0.000, 0.500) and Pd at (0.000, 0.500, 0.067).

The calculation puts the energy relative to the elements, uncorrected at -0.40 eV per atom. The value obtained for the size of the total moment is 0.00 Bohr magnetons per cell.


> Look up the size of the total moment of the first one.

0.00 Bohr magnetons per cell


> What is the size of the total moment in the second record?

0.00 Bohr magnetons per cell